Below is crystalline CdIn2Si2 at its relaxed geometry, with properties calculated at the PBE-GGA level.

a = 4.4752 Å, b = 4.4752 Å, c = 6.8409 Å
α = 70.91°, β = 70.91°, γ = 90.00°
Fractional coordinates of all 5 atoms:
In 0.6170 0.6170 0.7659
In 0.3830 0.3830 0.2341
Cd 0.0000 0.0000 0.0000
Si 0.2500 0.7500 0.5000
Si 0.7500 0.2500 0.5000

Calculated values
M_tot (μB per formula unit): 0.00
Space group: No. 139
E above lowest polymorph (meV per atom): 141.1
Mass density (Mg/m³): 5.444
E_form (uncorrected) (eV/f.u.): 2.18

=====

Below is crystalline Y2SiW at its relaxed geometry, with properties calculated at the PBE-GGA level.

a = 3.3973 Å, b = 3.3973 Å, c = 7.9602 Å
α = 90.00°, β = 90.00°, γ = 90.00°
Fractional coordinates of all 4 atoms:
Y 0.5000 0.5000 0.3239
Y 0.0000 0.0000 0.9348
W 0.5000 0.5000 0.6830
Si 0.0000 0.0000 0.5582

Calculated values
M_tot (μB per formula unit): 0.00
Space group: No. 99
Mass density (Mg/m³): 7.044
E_form (uncorrected) (eV/f.u.): -0.24

=====

Below is crystalline NiHN2 at its relaxed geometry, with properties calculated at the PBE-GGA level.

a = 3.9921 Å, b = 3.9921 Å, c = 4.9025 Å
α = 65.97°, β = 65.97°, γ = 90.00°
Fractional coordinates of all 8 atoms:
Ni 0.7500 0.2500 0.5000
Ni 0.0000 0.0000 0.0000
N 0.3750 0.4012 0.7500
N 0.8750 0.8488 0.7500
N 0.5988 0.1250 0.2500
N 0.1512 0.6250 0.2500
H 0.5000 0.5000 0.0000
H 0.2500 0.7500 0.5000

Calculated values
M_tot (μB per formula unit): 0.00
Space group: No. 122
E above lowest polymorph (meV per atom): 597.3
Mass density (Mg/m³): 4.560

=====

Below is crystalline P2OsSeS at its relaxed geometry, with properties calculated at the PBE-GGA level.

a = 4.6833 Å, b = 4.6833 Å, c = 4.4650 Å
α = 90.00°, β = 90.00°, γ = 90.00°
Fractional coordinates of all 5 atoms:
P 0.5000 0.0000 0.0000
P 0.0000 0.5000 0.0000
Se 0.5000 0.5000 0.5000
Os 0.0000 0.0000 0.0000
S 0.0000 0.0000 0.5000

Calculated values
M_tot (μB per formula unit): 0.00
Space group: No. 123
E above lowest polymorph (meV per atom): 0.0
Mass density (Mg/m³): 6.159
E_form (uncorrected) (eV/f.u.): 3.45

=====

Below is crystalline Tb5Si2Pb at its relaxed geometry, with properties calculated at the PBE-GGA level.

a = 7.8275 Å, b = 7.8275 Å, c = 8.8460 Å
α = 116.26°, β = 116.26°, γ = 90.00°
Last column: magnetic moment on the atom in μB.
Fractional coordinates of all 16 atoms:
Tb 0.4780 0.2993 0.2773  0.12
Tb 0.0000 0.0000 0.0000  0.15
Tb 0.0220 0.5220 0.7227  0.12
Tb 0.2993 0.7993 0.2773  0.12
Tb 0.7007 0.2007 0.7227  0.12
Tb 0.5220 0.7007 0.7227  0.12
Tb 0.9780 0.4780 0.2773  0.12
Tb 0.2007 0.0220 0.7227  0.12
Tb 0.7993 0.9780 0.2773  0.12
Tb 0.5000 0.5000 0.0000  0.15
Si 0.3610 0.8610 0.0000  -0.01
Si 0.1390 0.3610 0.0000  -0.01
Si 0.8610 0.6390 0.0000  -0.01
Si 0.6390 0.1390 0.0000  -0.01
Pb 0.2500 0.2500 0.5000  0.00
Pb 0.7500 0.7500 0.5000  0.00

Calculated values
M_tot (μB per formula unit): 0.99
Space group: No. 140
Mass density (Mg/m³): 8.311
E_form (uncorrected) (eV/f.u.): -5.00

=====

Below is crystalline BPS2I at its relaxed geometry, with properties calculated at the PBE-GGA level.

a = 5.1154 Å, b = 5.1154 Å, c = 5.2708 Å
α = 90.00°, β = 90.00°, γ = 90.00°
Last column: magnetic moment on the atom in μB.
Fractional coordinates of all 5 atoms:
I 0.0000 0.0000 0.0000  -0.01
S 0.5000 0.0000 0.0000  0.11
S 0.0000 0.5000 0.0000  0.11
P 0.0000 0.0000 0.5000  0.42
B 0.5000 0.5000 0.5000  -0.02

Calculated values
M_tot (μB per formula unit): 1.25
Space group: No. 123
E above lowest polymorph (meV per atom): 1122.3
Mass density (Mg/m³): 2.803
E_form (uncorrected) (eV/f.u.): 10.15

=====

Below is crystalline ThAlTe4 at its relaxed geometry, with properties calculated at the PBE-GGA level.

a = 8.4630 Å, b = 8.4630 Å, c = 8.4630 Å
α = 106.02°, β = 106.02°, γ = 116.62°
Fractional coordinates of all 12 atoms:
Te 0.4826 0.2969 0.1857
Te 0.7031 0.5174 0.8143
Te 0.1111 0.2969 0.8143
Te 0.0469 0.7326 0.6857
Te 0.7031 0.8889 0.1857
Te 0.0469 0.3611 0.3143
Te 0.2674 0.9531 0.3143
Te 0.6389 0.9531 0.6857
Al 0.5000 0.5000 0.0000
Al 0.2500 0.7500 0.5000
Th 0.0000 0.0000 0.0000
Th 0.7500 0.2500 0.5000

Calculated values
M_tot (μB per formula unit): 0.00
Space group: No. 141
Mass density (Mg/m³): 5.542
E_form (uncorrected) (eV/f.u.): -3.74

=====

Below is crystalline Nb2In2Sb at its relaxed geometry, with properties calculated at the PBE-GGA level.

a = 7.1653 Å, b = 7.1653 Å, c = 4.3130 Å
α = 90.00°, β = 90.00°, γ = 90.00°
Fractional coordinates of all 10 atoms:
Sb 0.5000 0.5000 0.0000
Sb 0.0000 0.0000 0.0000
Nb 0.8641 0.6359 0.0000
Nb 0.6359 0.1359 0.0000
Nb 0.1359 0.3641 0.0000
Nb 0.3641 0.8641 0.0000
In 0.8384 0.3384 0.5000
In 0.6616 0.8384 0.5000
In 0.1616 0.6616 0.5000
In 0.3384 0.1616 0.5000

Calculated values
M_tot (μB per formula unit): 0.00
Space group: No. 127
Mass density (Mg/m³): 8.057
E_form (uncorrected) (eV/f.u.): 0.29

=====

Below is crystalline Pa2PRh at its relaxed geometry, with properties calculated at the PBE-GGA level.

a = 3.4321 Å, b = 3.4321 Å, c = 8.9855 Å
α = 78.99°, β = 78.99°, γ = 60.00°
Fractional coordinates of all 4 atoms:
Rh 0.0000 0.0000 0.0000
P 0.5000 0.5000 0.5000
Pa 0.9050 0.9050 0.2850
Pa 0.0950 0.0950 0.7150

Calculated values
M_tot (μB per formula unit): 0.00
Formation energy from the elements (eV/f.u.): -1.4
Space group: No. 166
E above lowest polymorph (meV per atom): 531.1
Mass density (Mg/m³): 11.069

=====

Below is crystalline LiRe4Br at its relaxed geometry, with properties calculated at the PBE-GGA level.

a = 5.2665 Å, b = 5.2665 Å, c = 5.2665 Å
α = 60.00°, β = 60.00°, γ = 60.00°
Fractional coordinates of all 6 atoms:
Re 0.3754 0.3754 0.3754
Re 0.8737 0.3754 0.3754
Re 0.3754 0.3754 0.8737
Re 0.3754 0.8737 0.3754
Br 0.7500 0.7500 0.7500
Li 0.0000 0.0000 0.0000

Calculated values
M_tot (μB per formula unit): 0.00
Space group: No. 216
Mass density (Mg/m³): 13.370
E_form (uncorrected) (eV/f.u.): 6.23

=====

Below is crystalline Tb4Sm2DySc at its relaxed geometry, with properties calculated at the PBE-GGA level.

a = 5.0091 Å, b = 5.0095 Å, c = 11.1699 Å
α = 63.33°, β = 90.00°, γ = 90.00°
Fractional coordinates of all 8 atoms:
Sm 0.5000 0.0000 0.5000
Sm 0.0000 0.0000 0.0000
Dy 0.5000 0.5000 0.0000
Sc 0.0000 0.5000 0.5000
Tb 0.5000 0.7453 0.2545
Tb 0.0000 0.2447 0.2550
Tb 0.5000 0.2547 0.7455
Tb 0.0000 0.7553 0.7450

Calculated values
M_tot (μB per formula unit): 0.00
Formation energy from the elements (eV/f.u.): 0.2
Space group: No. 123
Mass density (Mg/m³): 7.584

=====

Below is crystalline ScGaO3 at its relaxed geometry, with properties calculated at the PBE-GGA level.

a = 5.7886 Å, b = 5.7886 Å, c = 11.6058 Å
α = 90.00°, β = 90.00°, γ = 120.00°
Fractional coordinates of all 30 atoms:
O 0.6387 0.0000 0.3378
O 0.6667 0.3333 0.0262
O 0.0000 0.6941 0.6710
O 0.3333 0.6667 0.0262
O 0.3614 0.3614 0.3378
O 0.0000 0.0000 0.9763
O 0.3614 0.0000 0.8378
O 0.0000 0.3614 0.8378
O 0.0000 0.3059 0.1710
O 0.6941 0.6941 0.1710
O 0.3059 0.3059 0.6710
O 0.6667 0.3333 0.5262
O 0.0000 0.0000 0.4763
O 0.0000 0.6387 0.3378
O 0.6387 0.6387 0.8378
O 0.3059 0.0000 0.1710
O 0.3333 0.6667 0.5262
O 0.6941 0.0000 0.6710
Ga 0.3340 0.3340 0.5030
Ga 0.0000 0.6660 0.5030
Ga 0.6660 0.0000 0.5030
Ga 0.0000 0.3340 0.0030
Ga 0.3340 0.0000 0.0030
Ga 0.6660 0.6660 0.0030
Sc 0.0000 0.0000 0.7758
Sc 0.0000 0.0000 0.2758
Sc 0.3333 0.6667 0.7374
Sc 0.3333 0.6667 0.2374
Sc 0.6667 0.3333 0.7374
Sc 0.6667 0.3333 0.2374

Calculated values
M_tot (μB per formula unit): 0.00
Space group: No. 185
Mass density (Mg/m³): 4.813
E_form (uncorrected) (eV/f.u.): -13.48

=====

Below is crystalline Ta4Nb2Tc at its relaxed geometry, with properties calculated at the PBE-GGA level.

a = 2.8156 Å, b = 7.2504 Å, c = 7.2706 Å
α = 61.22°, β = 81.25°, γ = 96.30°
Fractional coordinates of all 7 atoms:
Nb 0.7462 0.1442 0.2838
Nb 0.2538 0.8558 0.7162
Ta 0.6049 0.5762 0.1431
Ta 0.0170 0.2805 0.5787
Ta 0.3951 0.4238 0.8569
Ta 0.9830 0.7195 0.4213
Tc 0.0000 0.0000 0.0000

Calculated values
M_tot (μB per formula unit): 0.00
Formation energy from the elements (eV/f.u.): 0.3
Space group: No. 2
E above lowest polymorph (meV per atom): 0.0
Mass density (Mg/m³): 13.314

=====

Below is crystalline LiAlNi2 at its relaxed geometry, with properties calculated at the PBE-GGA level.

a = 6.3121 Å, b = 6.3121 Å, c = 5.1290 Å
α = 52.02°, β = 52.02°, γ = 90.00°
Fractional coordinates of all 8 atoms:
Ni 0.6208 0.1250 0.2500
Ni 0.1292 0.6250 0.2500
Ni 0.8750 0.8708 0.7500
Ni 0.3750 0.3792 0.7500
Al 0.7500 0.2500 0.5000
Al 0.0000 0.0000 0.0000
Li 0.2500 0.7500 0.5000
Li 0.5000 0.5000 0.0000

Calculated values
M_tot (μB per formula unit): 0.00
Formation energy from the elements (eV/f.u.): 0.1
Space group: No. 122
Mass density (Mg/m³): 4.991

=====

Below is crystalline Tl8Se5S at its relaxed geometry, with properties calculated at the PBE-GGA level.

a = 8.9658 Å, b = 8.9658 Å, c = 8.9658 Å
α = 60.00°, β = 60.00°, γ = 60.00°
Fractional coordinates of all 14 atoms:
Tl 0.8537 0.3821 0.3821
Tl 0.3821 0.8537 0.3821
Tl 0.8637 0.8637 0.8637
Tl 0.3821 0.3821 0.8537
Tl 0.3821 0.3821 0.3821
Tl 0.4088 0.8637 0.8637
Tl 0.8637 0.4088 0.8637
Tl 0.8637 0.8637 0.4088
Se 0.6253 0.1240 0.6253
Se 0.1240 0.6253 0.6253
Se 0.6253 0.6253 0.1240
Se 0.0000 0.0000 0.0000
Se 0.6253 0.6253 0.6253
S 0.2500 0.2500 0.2500

Calculated values
M_tot (μB per formula unit): 0.00
Space group: No. 216
Mass density (Mg/m³): 6.718
E_form (uncorrected) (eV/f.u.): -3.18

=====

Below is crystalline PrScNi2H8 at its relaxed geometry, with properties calculated at the PBE-GGA level.

a = 4.5312 Å, b = 4.5312 Å, c = 6.7631 Å
α = 70.43°, β = 70.43°, γ = 60.00°
Last column: magnetic moment on the atom in μB.
Fractional coordinates of all 12 atoms:
H 0.8213 0.8213 0.5361  0.01
H 0.9056 0.5851 0.1829  0.00
H 0.0944 0.4149 0.8171  0.00
H 0.3264 0.9056 0.1829  0.00
H 0.6736 0.0944 0.8171  0.00
H 0.5851 0.3264 0.1829  0.00
H 0.4149 0.6736 0.8171  0.00
H 0.1787 0.1787 0.4639  0.01
Sc 0.0000 0.0000 0.0000  0.04
Ni 0.2622 0.2622 0.2133  0.22
Ni 0.7378 0.7378 0.7867  0.22
Pr 0.5000 0.5000 0.5000  0.03

Calculated values
Total energy (eV/atom): -4.38
M_tot (μB per formula unit): 0.65
Space group: No. 148
Mass density (Mg/m³): 4.662

=====

Below is crystalline Mn2Fe2Tc at its relaxed geometry, with properties calculated at the PBE-GGA level.

a = 6.7032 Å, b = 6.7032 Å, c = 2.5463 Å
α = 90.00°, β = 90.00°, γ = 90.00°
Fractional coordinates of all 10 atoms:
Mn 0.1707 0.6707 0.5000
Mn 0.6707 0.8293 0.5000
Mn 0.8293 0.3293 0.5000
Mn 0.3293 0.1707 0.5000
Tc 0.0000 0.0000 0.0000
Tc 0.5000 0.5000 0.0000
Fe 0.3759 0.8759 0.0000
Fe 0.8759 0.6241 0.0000
Fe 0.1241 0.3759 0.0000
Fe 0.6241 0.1241 0.0000

Calculated values
M_tot (μB per formula unit): 0.00
Formation energy from the elements (eV/f.u.): 0.7
Space group: No. 127
E above lowest polymorph (meV per atom): 0.0
Mass density (Mg/m³): 9.276

=====

Below is crystalline LaInTc2Au at its relaxed geometry, with properties calculated at the PBE-GGA level.

a = 5.2847 Å, b = 5.2847 Å, c = 5.6027 Å
α = 90.00°, β = 90.00°, γ = 90.00°
Last column: magnetic moment on the atom in μB.
Fractional coordinates of all 5 atoms:
Au 0.0000 0.0000 0.0000  0.09
La 0.0000 0.0000 0.5000  -0.22
In 0.5000 0.5000 0.5000  -0.12
Tc 0.0000 0.5000 0.0000  2.85
Tc 0.5000 0.0000 0.0000  2.85

Calculated values
M_tot (μB per formula unit): 5.61
Formation energy from the elements (eV/f.u.): 6.0
Space group: No. 123
Mass density (Mg/m³): 6.863

=====

Below is crystalline LiTc2P at its relaxed geometry, with properties calculated at the PBE-GGA level.

a = 4.9509 Å, b = 4.9509 Å, c = 4.9509 Å
α = 144.98°, β = 131.42°, γ = 61.28°
Fractional coordinates of all 4 atoms:
Tc 0.0176 0.0176 0.0000
Tc 0.7564 0.2564 0.5000
P 0.2396 0.7396 0.5000
Li 0.4864 0.4864 0.0000

Calculated values
M_tot (μB per formula unit): 0.00
Formation energy from the elements (eV/f.u.): -0.3
Space group: No. 44
Mass density (Mg/m³): 7.514

=====

Below is crystalline Ce3Sm2HoSe6 at its relaxed geometry, with properties calculated at the PBE-GGA level.

a = 7.1998 Å, b = 7.1998 Å, c = 7.2613 Å
α = 99.52°, β = 99.52°, γ = 120.04°
Last column: magnetic moment on the atom in μB.
Fractional coordinates of all 12 atoms:
Ce 0.1697 0.8303 0.5000  0.84
Ce 0.8303 0.1697 0.5000  0.84
Ce 0.5000 0.5000 0.5000  0.83
Sm 0.3337 0.6663 0.0000  -0.01
Sm 0.6663 0.3337 0.0000  -0.01
Se 0.2450 0.2450 0.7547  -0.01
Se 0.0805 0.4076 0.2421  -0.01
Se 0.5924 0.9195 0.7579  -0.01
Se 0.4076 0.0805 0.2421  -0.01
Se 0.9195 0.5924 0.7579  -0.01
Se 0.7550 0.7550 0.2453  -0.01
Ho 0.0000 0.0000 0.0000  0.00

Calculated values
M_tot (μB per formula unit): 2.97
Space group: No. 12
Mass density (Mg/m³): 7.343
E_form (uncorrected) (eV/f.u.): -21.75

=====

Below is crystalline KRb3Zn at its relaxed geometry, with properties calculated at the PBE-GGA level.

a = 7.1450 Å, b = 7.1450 Å, c = 7.1450 Å
α = 90.00°, β = 90.00°, γ = 90.00°
Fractional coordinates of all 5 atoms:
Rb 0.0000 0.5000 0.0000
Rb 0.5000 0.0000 0.0000
Rb 0.0000 0.0000 0.5000
Zn 0.0000 0.0000 0.0000
K 0.5000 0.5000 0.5000

Calculated values
M_tot (μB per formula unit): 0.00
Formation energy from the elements (eV/f.u.): 0.6
Space group: No. 221
E above lowest polymorph (meV per atom): 0.0
Mass density (Mg/m³): 1.643

=====

Below is crystalline AcCoSi2Rh at its relaxed geometry, with properties calculated at the PBE-GGA level.

a = 4.0967 Å, b = 4.0967 Å, c = 6.1409 Å
α = 109.49°, β = 109.49°, γ = 90.00°
Fractional coordinates of all 5 atoms:
Co 0.7500 0.2500 0.5000
Si 0.6408 0.6408 0.2816
Si 0.3592 0.3592 0.7184
Ac 0.0000 0.0000 0.0000
Rh 0.2500 0.7500 0.5000

Calculated values
M_tot (μB per formula unit): 0.00
Space group: No. 119
Mass density (Mg/m³): 8.132
E_form (uncorrected) (eV/f.u.): -3.95

=====

Below is crystalline HgAs2PdBr at its relaxed geometry, with properties calculated at the PBE-GGA level.

a = 4.9193 Å, b = 4.9193 Å, c = 5.3257 Å
α = 90.00°, β = 90.00°, γ = 90.00°
Last column: magnetic moment on the atom in μB.
Fractional coordinates of all 5 atoms:
Hg 0.5000 0.5000 0.5000  -0.01
Pd 0.0000 0.0000 0.0000  0.07
Br 0.0000 0.0000 0.5000  0.06
As 0.0000 0.5000 0.0000  0.22
As 0.5000 0.0000 0.0000  0.22

Calculated values
M_tot (μB per formula unit): 1.05
Space group: No. 123
E above lowest polymorph (meV per atom): 0.0
Mass density (Mg/m³): 6.916
E_form (uncorrected) (eV/f.u.): 1.92

=====

Below is crystalline Y6BiTe3As2 at its relaxed geometry, with properties calculated at the PBE-GGA level.

a = 4.2738 Å, b = 8.6841 Å, c = 9.6809 Å
α = 103.56°, β = 102.75°, γ = 90.00°
Fractional coordinates of all 12 atoms:
Bi 0.5000 0.0000 0.0000
As 0.1686 0.3372 0.3373
As 0.8314 0.6628 0.6627
Y 0.0134 0.2575 0.0268
Y 0.3289 0.8853 0.6579
Y 0.6711 0.1147 0.3421
Y 0.9866 0.7425 0.9732
Y 0.3246 0.4320 0.6492
Y 0.6754 0.5680 0.3508
Te 0.1616 0.8338 0.3232
Te 0.5000 0.5000 0.0000
Te 0.8384 0.1662 0.6768

Calculated values
M_tot (μB per formula unit): 0.00
Space group: No. 12
Mass density (Mg/m³): 6.224
E_form (uncorrected) (eV/f.u.): -16.53